Arrangement 1

CdTe2Cl (GGA-PBE, optimized geometry); total magnetization = 0.00 μB/f.u.; crystal system = trigonal
1.0
1.9955 1.1521 9.2405
-1.9955 1.1521 9.2405
0.0000 -2.3042 9.2405
Cd Te Cl
1 2 1
direct
0.0000 0.0000 0.0000
0.4797 0.4797 0.4797
0.7394 0.7394 0.7394
0.2802 0.2802 0.2802



Arrangement 2

CdTe2Cl (GGA-PBE, optimized geometry); total magnetization = 0.00 μB/f.u.; crystal system = monoclinic
1.0
5.2269 0.0000 0.0000
0.0000 4.5494 0.0000
-2.4957 0.0000 5.3809
Cd Te Cl
1 2 1
direct
0.0000 0.0000 0.0000
0.1905 0.5000 0.3841
0.8095 0.5000 0.6159
0.5000 0.0000 0.0000



Arrangement 3

CdTe2Cl (GGA-PBE, optimized geometry); total magnetization = 0.00 μB/f.u.; crystal system = monoclinic
1.0
6.2831 -1.8279 0.0000
6.2831 1.8279 0.0000
-0.9125 0.0000 4.9802
Cd Te Cl
1 2 1
direct
0.0000 0.0000 0.0000
0.3024 0.3024 0.8343
0.6976 0.6976 0.1657
0.5000 0.5000 0.5000



Energy relative to the most stable one, in eV/atom: arrangement 1 0.151; arrangement 2 0.000; arrangement 3 0.144



Arrangement 1

CdTe2Cl (GGA-PBE, optimized geometry); total magnetization = 0.01 μB/f.u.; crystal system = trigonal
1.0
2.2469 1.2973 8.2748
-2.2469 1.2973 8.2748
0.0000 -2.5945 8.2748
Cd Te Cl
1 2 1
direct
0.0000 0.0000 0.0000
0.3929 0.3929 0.3929
0.6071 0.6071 0.6071
0.5000 0.5000 0.5000



Arrangement 2

CdTe2Cl (GGA-PBE, optimized geometry); total magnetization = 0.00 μB/f.u.; crystal system = tetragonal
1.0
-2.4139 2.4139 10.9819
2.4139 -2.4139 10.9819
2.4139 2.4139 -10.9819
Cd Te Cl
2 4 2
direct
0.0000 0.0000 0.0000
0.7500 0.2500 0.5000
0.0309 0.6250 0.9059
0.3750 0.2809 0.4059
0.7191 0.1250 0.0941
0.8750 0.9691 0.5941
0.2500 0.7500 0.5000
0.5000 0.5000 0.0000



Arrangement 3

CdTe2Cl (GGA-PBE, optimized geometry); total magnetization = 0.00 μB/f.u.; crystal system = cubic
1.0
0.0000 3.7428 3.7428
3.7428 0.0000 3.7428
3.7428 3.7428 0.0000
Cd Te Cl
1 2 1
direct
0.0000 0.0000 0.0000
0.2500 0.2500 0.2500
0.5000 0.5000 0.5000
0.7500 0.7500 0.7500



Energy relative to the most stable one, in eV/atom: arrangement 1 0.000; arrangement 2 0.006; arrangement 3 0.156